(1)
A plane-wave DFT calculation with PBE+U was carried out for MoBrNO2 after structural relaxation.

Cell: 3.832 3.832 4.456 Å, 90.00 90.00 90.00°
Space group P4/mmm (No. 123)
Unique sites:
Mo1 0.000 0.000 0.000
Br1 0.500 0.500 0.500
N1 0.000 0.000 0.500
O1 0.000 0.500 0.000

Values from the calculation:
total energy = -5.40 eV per atom

***

(2)
A plane-wave DFT calculation with PBE+U was carried out for MoBrNO2 after structural relaxation.

Cell: 3.836 3.836 4.439 Å, 90.00 90.00 90.00°
Space group P4/mmm (No. 123)
Unique sites:
Mo1 0.000 0.000 0.000
Br1 0.500 0.500 0.500
N1 0.500 0.500 0.000
O1 0.000 0.500 0.500

Values from the calculation:
total energy = -4.25 eV per atom